Entry from the Alexandria database: an optimized crystal structure of Li3Y2In4 (PBE).

Cell lengths 6.1956, 8.0515, 8.7714 Å; angles 90.00, 110.68, 90.00 degrees
Sites, in units of the cell vectors:
In  0.3286  0.4810  0.6571
Y  0.6049  0.9035  0.2098
Y  0.1049  0.5965  0.2098
Li  0.9841  0.2500  0.4681
In  0.8113  0.2500  0.1226
In  0.1714  0.9810  0.3429
In  0.6887  0.7500  0.8774
Li  0.4841  0.2500  0.4681
Y  0.8951  0.4035  0.7902
In  0.8286  0.0190  0.6571
Li  0.5159  0.7500  0.5319
In  0.6714  0.5190  0.3429
Li  0.0159  0.7500  0.5319
Li  0.5000  0.5000  0.0000
In  0.3113  0.2500  0.1226
Y  0.3951  0.0965  0.7902
In  0.1887  0.7500  0.8774
Li  0.0000  0.0000  0.0000

As for the formation energy from the elements: -3.10 eV/f.u. Its symmetry is Cmce. Its density of states at the Fermi level is 12.7 states/eV/cell. Its total energy is -65.45 eV/cell.